Below is a relaxed structure of ReSiAs2, with properties calculated at the GGA-PBE level.

**Formation energy from raw total energies**: 0.564 eV per atom
**Theoretical density**: 9.5 g cm⁻³

The structure in CIF format:
```
data_ReSiAs2
_chemical_formula_sum 'Re2 Si2 As4'
_space_group_name_H-M_alt 'I m m 2'
_space_group_IT_number 44
_space_group_name_Hall 'I 2 -2'
_cell_length_a 3.297
_cell_length_b 4.800
_cell_length_c 8.054
_cell_angle_alpha 90.00
_cell_angle_beta 90.00
_cell_angle_gamma 90.00
loop_
_atom_site_label
_atom_site_type_symbol
_atom_site_fract_x
_atom_site_fract_y
_atom_site_fract_z
Re1 Re 0.000 0.000 0.000
Si1 Si 0.000 0.500 0.743
As1 As 0.000 0.000 0.480
As2 As 0.000 0.500 0.234
```

---

Below is a relaxed structure of LaIrI2O, with properties calculated at the GGA-PBE level.

**Formation energy from raw total energies**: -0.165 eV per atom
**Theoretical density**: 5.7 g cm⁻³

The structure in CIF format:
```
data_LaIrI2O
_chemical_formula_sum 'La1 Ir1 I2 O1'
_space_group_name_H-M_alt 'P 4/m m m'
_space_group_IT_number 123
_space_group_name_Hall '-P 4 2'
_cell_length_a 6.409
_cell_length_b 6.409
_cell_length_c 4.231
_cell_angle_alpha 90.00
_cell_angle_beta 90.00
_cell_angle_gamma 90.00
loop_
_atom_site_label
_atom_site_type_symbol
_atom_site_fract_x
_atom_site_fract_y
_atom_site_fract_z
La1 La 0.000 0.000 0.000
Ir1 Ir 0.500 0.500 0.500
I1 I 0.000 0.500 0.000
O1 O 0.000 0.000 0.500
```

---

Below is a relaxed structure of Tl2In2Ni, with properties calculated at the GGA-PBE level.

**Theoretical density**: 8.7 g cm⁻³
**Energy**: -0.2142 Ry per atom

The structure in CIF format:
```
data_Tl2In2Ni
_chemical_formula_sum 'Tl4 In4 Ni2'
_space_group_name_H-M_alt 'P 4/m b m'
_space_group_IT_number 127
_space_group_name_Hall '-P 4 2ab'
_cell_length_a 6.958
_cell_length_b 6.958
_cell_length_c 5.497
_cell_angle_alpha 90.00
_cell_angle_beta 90.00
_cell_angle_gamma 90.00
loop_
_atom_site_label
_atom_site_type_symbol
_atom_site_fract_x
_atom_site_fract_y
_atom_site_fract_z
Tl1 Tl 0.169 0.331 0.000
In1 In 0.168 0.668 0.500
Ni1 Ni 0.000 0.000 0.000
```

---

Below is a relaxed structure of AlCuPt, with properties calculated at the GGA-PBE level.

**Theoretical density**: 11.4 g cm⁻³
**Energy**: -0.3865 Ry per atom

The structure in CIF format:
```
data_AlCuPt
_chemical_formula_sum 'Al4 Cu4 Pt4'
_space_group_name_H-M_alt 'C 1 m 1'
_space_group_IT_number 8
_space_group_name_Hall 'C -2y'
_cell_length_a 8.088
_cell_length_b 3.962
_cell_length_c 5.305
_cell_angle_alpha 90.00
_cell_angle_beta 100.75
_cell_angle_gamma 90.00
loop_
_atom_site_label
_atom_site_type_symbol
_atom_site_fract_x
_atom_site_fract_y
_atom_site_fract_z
Al1 Al 0.000 0.000 0.000
Al2 Al 0.190 0.500 0.376
Cu1 Cu 0.015 0.000 0.520
Cu2 Cu 0.334 0.000 0.677
Pt1 Pt 0.162 0.500 0.867
Pt2 Pt 0.366 0.000 0.195
```

---

Below is a relaxed structure of Li2TaSb, with properties calculated at the GGA-PBE level.

**Formation energy from raw total energies**: 0.233 eV per atom
**Theoretical density**: 6.8 g cm⁻³

The structure in CIF format:
```
data_Li2TaSb
_chemical_formula_sum 'Li2 Ta1 Sb1'
_space_group_name_H-M_alt 'P 4/m m m'
_space_group_IT_number 123
_space_group_name_Hall '-P 4 2'
_cell_length_a 2.909
_cell_length_b 2.909
_cell_length_c 9.107
_cell_angle_alpha 90.00
_cell_angle_beta 90.00
_cell_angle_gamma 90.00
loop_
_atom_site_label
_atom_site_type_symbol
_atom_site_fract_x
_atom_site_fract_y
_atom_site_fract_z
Li1 Li 0.000 0.000 0.240
Ta1 Ta 0.500 0.500 0.500
Sb1 Sb 0.500 0.500 0.000
```

---

Below is a relaxed structure of PuHfI6, with properties calculated at the GGA-PBE level.

**Formation energy from raw total energies**: -0.924 eV per atom
**Theoretical density**: 5.4 g cm⁻³

The structure in CIF format:
```
data_PuHfI6
_chemical_formula_sum 'Pu2 Hf2 I12'
_space_group_name_H-M_alt 'C 1 2/m 1'
_space_group_IT_number 12
_space_group_name_Hall '-C 2y'
_cell_length_a 7.423
_cell_length_b 14.099
_cell_length_c 7.379
_cell_angle_alpha 90.00
_cell_angle_beta 108.92
_cell_angle_gamma 90.00
loop_
_atom_site_label
_atom_site_type_symbol
_atom_site_fract_x
_atom_site_fract_y
_atom_site_fract_z
Pu1 Pu 0.000 0.000 0.000
Hf1 Hf 0.000 0.500 0.500
I1 I 0.227 0.351 0.733
I2 I 0.240 0.500 0.266
```

---

Below is a relaxed structure of ScIr3Rh, with properties calculated at the GGA-PBE level.

**Theoretical density**: 12.2 g cm⁻³
**Energy**: -0.4667 Ry per atom

The structure in CIF format:
```
data_ScIr3Rh
_chemical_formula_sum 'Sc1 Ir3 Rh1'
_space_group_name_H-M_alt 'P m -3 m'
_space_group_IT_number 221
_space_group_name_Hall '-P 4 2 3'
_cell_length_a 4.621
_cell_length_b 4.621
_cell_length_c 4.621
_cell_angle_alpha 90.00
_cell_angle_beta 90.00
_cell_angle_gamma 90.00
loop_
_atom_site_label
_atom_site_type_symbol
_atom_site_fract_x
_atom_site_fract_y
_atom_site_fract_z
Sc1 Sc 0.000 0.000 0.000
Ir1 Ir 0.000 0.000 0.500
Rh1 Rh 0.500 0.500 0.500
```

---

Below is a relaxed structure of SrPI2N, with properties calculated at the GGA-PBE level.

**Formation energy from raw total energies**: 1.035 eV per atom
**Theoretical density**: 3.7 g cm⁻³

The structure in CIF format:
```
data_SrPI2N
_chemical_formula_sum 'Sr1 P1 I2 N1'
_space_group_name_H-M_alt 'P 4/m m m'
_space_group_IT_number 123
_space_group_name_Hall '-P 4 2'
_cell_length_a 6.321
_cell_length_b 6.321
_cell_length_c 4.394
_cell_angle_alpha 90.00
_cell_angle_beta 90.00
_cell_angle_gamma 90.00
loop_
_atom_site_label
_atom_site_type_symbol
_atom_site_fract_x
_atom_site_fract_y
_atom_site_fract_z
Sr1 Sr 0.000 0.000 0.000
P1 P 0.500 0.500 0.500
I1 I 0.000 0.500 0.000
N1 N 0.000 0.000 0.500
```